Here is an optimized crystal structure of LiPr2TmS4 from the Alexandria database. Energies are from PBE.

Summary:
formation energy from raw total energies	-1.903	eV/atom

Unit cell a=6.836 b=3.971 c=6.909 alpha=90.00 beta=109.32 gamma=90.00
Fractional positions:
1 Li 0.000 0.000 0.000
2 Pr 0.000 0.500 0.500
3 Pr 0.500 0.000 0.500
4 Tm 0.500 0.500 0.000
5 S 0.244 0.500 0.229
6 S 0.256 0.000 0.773
7 S 0.744 0.000 0.227
8 S 0.756 0.500 0.771

Here is an optimized crystal structure of CrCoSiIr from the Alexandria database. Energies are from PBE.

Summary:
formation energy from raw total energies	-0.301	eV/atom

Unit cell a=4.149 b=4.149 c=4.149 alpha=60.00 beta=60.00 gamma=60.00
Fractional positions:
1 Cr 0.000 0.000 0.000
2 Co 0.250 0.250 0.250
3 Si 0.500 0.500 0.500
4 Ir 0.750 0.750 0.750

Here is an optimized crystal structure of ZnRe3Br from the Alexandria database. Energies are from PBE.

Summary:
formation energy from raw total energies	2.351	eV/atom
relative energy among the computed polymorphs	0	meV/atom

Unit cell a=4.551 b=4.551 c=4.551 alpha=90.00 beta=90.00 gamma=90.00
Fractional positions:
1 Zn 0.000 0.000 0.000
2 Re 0.000 0.500 0.500
3 Re 0.500 0.000 0.500
4 Re 0.500 0.500 0.000
5 Br 0.500 0.500 0.500

Here is an optimized crystal structure of TaAgHg2 from the Alexandria database. Energies are from PBE.

Summary:
DFT formation energy	480	meV/atom

Unit cell a=5.960 b=5.960 c=5.960 alpha=151.76 beta=125.41 gamma=62.59
Fractional positions:
1 Ta 0.000 0.000 0.000
2 Ag 0.500 0.500 0.000
3 Hg 0.251 0.751 0.500
4 Hg 0.749 0.249 0.500

Here is an optimized crystal structure of Tb6InRu2 from the Alexandria database. Energies are from PBE.

Summary:
DFT formation energy	-253	meV/atom
relative energy among the computed polymorphs	114	meV/atom

Unit cell a=5.657 b=5.657 c=9.402 alpha=100.53 beta=100.53 gamma=52.83
Fractional positions:
1 Tb 0.035 0.035 0.344
2 Tb 0.287 0.287 0.661
3 Tb 0.338 0.338 0.119
4 Tb 0.662 0.662 0.881
5 Tb 0.713 0.713 0.339
6 Tb 0.965 0.965 0.656
7 In 0.000 0.000 0.000
8 Ru 0.386 0.386 0.404
9 Ru 0.614 0.614 0.596

Here is an optimized crystal structure of TiBe2I from the Alexandria database. Energies are from PBE.

Summary:
formation energy from raw total energies	0.834	eV/atom
relative energy among the computed polymorphs	0	meV/atom

Unit cell a=5.696 b=5.696 c=5.696 alpha=102.64 beta=102.64 gamma=124.23
Fractional positions:
1 Ti 0.000 0.000 0.000
2 Ti 0.750 0.250 0.500
3 Be 0.127 0.125 0.502
4 Be 0.375 0.873 0.998
5 Be 0.623 0.625 0.498
6 Be 0.875 0.377 0.002
7 I 0.250 0.750 0.500
8 I 0.500 0.500 0.000

no.,total DFT energy (no corrections) (eV/atom)
1,-5.959
2,-8.055
3,-5.707
4,-3.347
5,-5.705
6,-3.390